No. 1
Material: Ac2BiPtO5
Method: DFT, PBE-GGA
State: optimized geometry

Final energy: -6.6827 eV/atom
Mass density: 10.2 g cm⁻³
Formation energy from raw total energies: -1.9127 eV per atom

```
data_Ac2BiPtO5
_chemical_formula_sum 'Ac4 Bi2 Pt2 O10'
_symmetry_space_group_name_H-M 'P 4/m b m'
_symmetry_Int_Tables_number 127
_symmetry_space_group_name_Hall '-P 4 2ab'
_cell_length_a 7.274
_cell_length_b 7.274
_cell_length_c 5.786
_cell_angle_alpha 90.00
_cell_angle_beta 90.00
_cell_angle_gamma 90.00
loop_
_atom_site_label
_atom_site_fract_x
_atom_site_fract_y
_atom_site_fract_z
_atom_site_occupancy
Ac1 0.175 0.325 0.000 1
Bi1 0.000 0.000 0.500 1
Pt1 0.000 0.500 0.500 1
O1 0.000 0.000 0.000 1
O2 0.140 0.640 0.256 1
```

***

No. 2
Material: AcBi2PtO8
Method: DFT, PBE-GGA
State: optimized geometry

Final energy: -6.0489 eV/atom
Mass density: 8.7 g cm⁻³
Formation energy from raw total energies: -1.2508 eV per atom

```
data_AcBi2PtO8
_chemical_formula_sum 'Ac1 Bi2 Pt1 O8'
_symmetry_space_group_name_H-M 'P 1 2/m 1'
_symmetry_Int_Tables_number 10
_cell_length_a 5.114
_cell_length_b 7.048
_cell_length_c 5.150
_cell_angle_alpha 90.00
_cell_angle_beta 91.55
_cell_angle_gamma 90.00
loop_
_symmetry_equiv_pos_as_xyz
'x,y,z'
'-x,-y,-z'
'-x,y,-z'
'x,-y,z'
loop_
_atom_site_label
_atom_site_fract_x
_atom_site_fract_y
_atom_site_fract_z
_atom_site_occupancy
Ac1 0.000 0.000 0.000 1
Bi1 0.500 0.262 0.500 1
Pt1 0.000 0.500 0.000 1
O1 0.170 0.288 0.208 1
O2 0.296 0.500 0.744 1
O3 0.359 0.000 0.697 1
```

***

No. 3
Material: AcBiPtO
Method: DFT, PBE-GGA
State: optimized geometry

Final energy: -6.2937 eV/atom
Mass density: 11.3 g cm⁻³
Formation energy from raw total energies: -1.5466 eV per atom

```
data_AcBiPtO
_chemical_formula_sum 'Ac2 Bi2 Pt2 O2'
_symmetry_space_group_name_H-M 'P 4/n m m'
_symmetry_Int_Tables_number 129
_cell_length_a 4.770
_cell_length_b 4.770
_cell_length_c 8.378
_cell_angle_alpha 90.00
_cell_angle_beta 90.00
_cell_angle_gamma 90.00
loop_
_symmetry_equiv_pos_as_xyz
'x,y,z'
'-x,-y,-z'
'-y+1/2,x,z'
'y+1/2,-x,-z'
'-x+1/2,-y+1/2,z'
'x+1/2,y+1/2,-z'
'y,-x+1/2,z'
'-y,x+1/2,-z'
'x+1/2,-y,-z'
'-x+1/2,y,z'
'-y,-x,-z'
'y,x,z'
'-x,y+1/2,-z'
'x,-y+1/2,z'
'y+1/2,x+1/2,-z'
'-y+1/2,-x+1/2,z'
loop_
_atom_site_label
_atom_site_fract_x
_atom_site_fract_y
_atom_site_fract_z
_atom_site_occupancy
Ac1 0.250 0.250 0.115 1
Bi1 0.250 0.750 0.500 1
Pt1 0.250 0.250 0.670 1
O1 0.250 0.750 0.000 1
```

***

No. 4
Material: AcBi2PtO6
Method: DFT, PBE-GGA
State: optimized geometry

Final energy: -6.2562 eV/atom
Mass density: 8.9 g cm⁻³
Formation energy from raw total energies: -1.4902 eV per atom

```
data_AcBi2PtO6
_chemical_formula_sum 'Ac2 Bi4 Pt2 O12'
_symmetry_space_group_name_H-M 'C 1 2 1'
_symmetry_Int_Tables_number 5
_cell_length_a 12.616
_cell_length_b 5.843
_cell_length_c 5.084
_cell_angle_alpha 90.00
_cell_angle_beta 111.02
_cell_angle_gamma 90.00
loop_
_symmetry_equiv_pos_as_xyz
'x,y,z'
'-x,y,-z'
'x+1/2,y+1/2,z'
'-x+1/2,y+1/2,-z'
loop_
_atom_site_label
_atom_site_fract_x
_atom_site_fract_y
_atom_site_fract_z
_atom_site_occupancy
Ac1 0.000 0.000 0.000 1
Bi1 0.245 0.414 0.281 1
Pt1 0.000 0.505 0.500 1
O1 0.092 0.273 0.399 1
O2 0.099 0.743 0.413 1
O3 0.200 0.091 0.051 1
```

***

No. 5
Material: AcPuBiO2
Method: DFT, PBE-GGA
State: optimized geometry

Final energy: -8.8166 eV/atom
Mass density: 10.3 g cm⁻³
Formation energy from raw total energies: -2.3691 eV per atom

```
data_AcPuBiO2
_chemical_formula_sum 'Ac2 Pu2 Bi2 O4'
_symmetry_space_group_name_H-M 'I 4 m m'
_symmetry_Int_Tables_number 107
_symmetry_space_group_name_Hall 'I 4 -2'
_cell_length_a 4.074
_cell_length_b 4.074
_cell_length_c 13.862
_cell_angle_alpha 90.00
_cell_angle_beta 90.00
_cell_angle_gamma 90.00
loop_
_atom_site_label
_atom_site_fract_x
_atom_site_fract_y
_atom_site_fract_z
_atom_site_occupancy
Ac1 0.000 0.000 0.000 1
Pu1 0.000 0.000 0.320 1
Bi1 0.000 0.000 0.668 1
O1 0.000 0.500 0.399 1
```

***

No. 6
Material: AcPuBi2O8
Method: DFT, PBE-GGA
State: optimized geometry

Final energy: -7.5861 eV/atom
Mass density: 7.9 g cm⁻³
Formation energy from raw total energies: -2.0971 eV per atom

```
data_AcPuBi2O8
_chemical_formula_sum 'Ac1 Pu1 Bi2 O8'
_symmetry_space_group_name_H-M 'P -1'
_symmetry_Int_Tables_number 2
_cell_length_a 5.395
_cell_length_b 5.417
_cell_length_c 7.357
_cell_angle_alpha 90.97
_cell_angle_beta 92.94
_cell_angle_gamma 90.76
loop_
_symmetry_equiv_pos_as_xyz
'x,y,z'
'-x,-y,-z'
loop_
_atom_site_label
_atom_site_fract_x
_atom_site_fract_y
_atom_site_fract_z
_atom_site_occupancy
Ac1 0.000 0.000 0.000 1
Pu1 0.000 0.000 0.500 1
Bi1 0.478 0.482 0.760 1
O1 0.178 0.211 0.736 1
O2 0.185 0.151 0.306 1
O3 0.248 0.751 0.530 1
O4 0.329 0.685 0.988 1
```